Below is a relaxed structure of MnFeMo2, with properties calculated at the PBE-GGA level.

Unit cell a=4.9172 b=4.9172 c=4.9172 alpha=142.61 beta=129.32 gamma=64.65
With the nearest neighbours (Å) after each atom.
Atoms (fractional coordinates):
Mn 0.0000 0.0000 0.0000  4 Mo 2.61, 4 Fe 2.63
Fe 0.5000 0.5000 0.0000  4 Mo 2.61, 4 Mn 2.63
Mo 0.2500 0.7500 0.5000  2 Fe 2.61, 2 Mn 2.61, 4 Mo 2.63
Mo 0.7500 0.2500 0.5000  2 Fe 2.61, 2 Mn 2.61, 4 Mo 2.63

ΔE_f ... 120 meV per atom
N(E_F) ... 3.370 states/eV/cell
Raw total energy ... -9.7032 eV/atom



Below is a relaxed structure of NdSm4Pa3P8, with properties calculated at the PBE-GGA level.

Unit cell a=8.1048 b=8.1048 c=8.1048 alpha=60.04 beta=60.04 gamma=60.04
With the nearest neighbours (Å) after each atom.
Atoms (fractional coordinates):
Nd 0.0000 0.0000 0.0000  6 P 2.88
Sm 0.0000 0.0000 0.5000  6 P 2.91-2.93
Sm 0.0000 0.5000 0.0000  6 P 2.91-2.93
Sm 0.5000 0.0000 0.0000  6 P 2.91-2.93
Sm 0.5000 0.5000 0.5000  6 P 2.85
Pa 0.0000 0.5000 0.5000  6 P 2.81-2.82
Pa 0.5000 0.0000 0.5000  6 P 2.81-2.82
Pa 0.5000 0.5000 0.0000  6 P 2.81-2.82
P 0.2513 0.2513 0.7382  2 Pa 2.81, 3 Sm 2.85-2.93, 1 Nd 2.88
P 0.2513 0.7382 0.2513  2 Pa 2.81, 3 Sm 2.85-2.93, 1 Nd 2.88
P 0.2538 0.2538 0.2538  3 Pa 2.82, 3 Sm 2.91
P 0.2618 0.7487 0.7487  2 Pa 2.81, 3 Sm 2.85-2.93, 1 Nd 2.88
P 0.7382 0.2513 0.2513  2 Pa 2.81, 3 Sm 2.85-2.93, 1 Nd 2.88
P 0.7462 0.7462 0.7462  3 Pa 2.82, 3 Sm 2.91
P 0.7487 0.2618 0.7487  2 Pa 2.81, 3 Sm 2.85-2.93, 1 Nd 2.88
P 0.7487 0.7487 0.2618  2 Pa 2.81, 3 Sm 2.85-2.93, 1 Nd 2.88

ΔE_f ... -1475 meV per atom
N(E_F) ... 12.442 states/eV/cell
Raw total energy ... -7.4380 eV/atom



Which value of N(E_F) does entry 2 give? 12.442 states/eV/cell